A plane-wave DFT calculation with PBE was carried out for crystalline Sc2CoSb at its relaxed geometry.

Total DFT energy (no corrections): -6.275 eV per atom
Density: 5.425 g cm⁻³
Formation energy from raw total energies: -0.302 eV/atom
Volume: 20.7 A^3/atom
Crystal system: trigonal
Fermi-level density of states: 3.1 states/eV per cell

a = 8.306 Å, b = 8.306 Å, c = 8.306 Å
α = 23.93°, β = 23.93°, γ = 23.93°
Atoms (fractional coordinates):
Co 0.250 0.250 0.250
Sb 0.750 0.750 0.750
Sc 0.980 0.980 0.980
Sc 0.520 0.520 0.520